Compound: CaTiNb3
Source: Alexandria
Functional: GGA-PBE
Structure: relaxed

a b c (Å): 4.747 4.747 4.747
angles (deg): 90.00 90.00 90.00
Fractional coordinates of all 5 atoms:
1 Ca 0.000 0.000 0.000
2 Ti 0.500 0.500 0.500
3 Nb 0.000 0.000 0.500
4 Nb 0.000 0.500 0.000
5 Nb 0.500 0.000 0.000

For the formation energy, the calculation gives 2.152 eV per atom. The calculation puts the energy above the most stable polymorph in this dataset at 1148 meV/atom.